No. 1
The following is a PBE calculation of an optimized crystal structure of FeTe2Os, from the Alexandria database.

POSCAR file:
```
FeTe2Os
1.0
3.270 0.000 0.000
0.000 4.694 0.000
0.000 0.000 4.711
Fe Te Os
1 2 1
direct
0.000 0.000 0.000
0.500 0.000 0.500
0.500 0.500 0.000
0.000 0.500 0.500
```

Energy relative to the elements, uncorrected   0.667 eV per atom
E above lowest polymorph   2.03 eV per formula unit
Volume   18.1 Å³/atom
Electronic total energy   -5.827 eV per atom
Total magnetic moment   0.626 μB/atom

No. 2
The following is a PBE calculation of an optimized crystal structure of LaMg2Sb, from the Alexandria database.

POSCAR file:
```
LaMg2Sb
1.0
4.616 0.000 0.000
0.000 4.616 0.000
0.000 0.000 5.119
La Mg Sb
1 2 1
direct
0.000 0.000 0.000
0.000 0.500 0.500
0.500 0.000 0.500
0.500 0.500 0.000
```

Energy relative to the elements, uncorrected   -0.506 eV per atom
Volume   27.3 Å³/atom
Electronic total energy   -3.566 eV per atom
Total magnetic moment   0.000 μB/atom